Density functional theory data (PBE) for a geometry-optimized BaCr4Ru structure.

Cell and atoms, written as POSCAR:
```
BaCr4Ru
1.0
0.000 3.585 3.585
3.585 0.000 3.585
3.585 3.585 0.000
Ba Cr Ru
1 4 1
direct
0.000 0.000 0.000
0.870 0.377 0.377
0.377 0.377 0.870
0.377 0.870 0.377
0.377 0.377 0.377
0.750 0.750 0.750
```

Output
space group: F-43m, No. 216
spin magnetization: 0.00 Bohr magnetons per cell
energy relative to the elements: 99 kJ/mol of atoms